Entry w
Al13Co4, relaxed, DFT PBE; total magnetic moment = 0.00 μB per formula unit; space group = C2/m (12); crystal system = monoclinic
1.0
-3.4535 7.4362 -3.0598
-4.5208 4.6299 -5.8918
-4.2234 -3.6943 5.2525
Al Co
13 4
Direct
0.7974 0.7974 0.0166
0.0842 0.0842 0.1035
0.4139 0.4139 0.1222
0.5920 0.5920 0.3138
0.2564 0.2564 0.3849
0.8732 0.8732 0.4079
0.5000 0.5000 0.5000
0.1268 0.1268 0.5921
0.7436 0.7436 0.6151
0.4080 0.4080 0.6862
0.5861 0.5861 0.8778
0.9158 0.9158 0.8965
0.2026 0.2026 0.9834
0.7060 0.7060 0.1966
0.9890 0.9890 0.2728
0.0110 0.0110 0.7272
0.2940 0.2940 0.8034

Entry x
Al13Co4, relaxed, DFT PBE; total magnetic moment = 0.00 μB per formula unit; space group = Pmn2_1 (31); crystal system = orthorhombic
1.0
-5.7698 3.6704 4.5075
-8.2834 -8.4141 -3.7516
3.4328 -8.3819 11.2194
Al Co
78 24
Direct
0.5000 0.9954 0.0096
0.2113 0.9084 0.0456
0.7887 0.9084 0.0456
0.2209 0.2788 0.0485
0.7791 0.2788 0.0485
0.0000 0.0966 0.0879
0.2801 0.4843 0.0935
0.7199 0.4843 0.0935
0.2780 0.7051 0.0978
0.7220 0.7051 0.0978
0.0000 0.5939 0.1241
0.5000 0.3212 0.1538
0.5000 0.8645 0.1578
0.0000 0.3644 0.1705
0.0000 0.8238 0.1743
0.5000 0.0934 0.2050
0.2219 0.2052 0.2310
0.7781 0.2052 0.2310
0.2205 0.9848 0.2359
0.7795 0.9848 0.2359
0.5000 0.5979 0.2432
0.2781 0.7792 0.2797
0.7219 0.7792 0.2797
0.2897 0.4084 0.2828
0.7103 0.4084 0.2828
0.0000 0.4949 0.3183
0.0000 0.6958 0.3361
0.0000 0.1009 0.3492
0.5000 0.0901 0.3897
0.2684 0.5788 0.4064
0.7316 0.5788 0.4064
0.5000 0.7494 0.4136
0.2507 0.2503 0.4144
0.7493 0.2503 0.4144
0.2698 0.9203 0.4227
0.7302 0.9203 0.4227
0.5000 0.4098 0.4393
0.0000 0.3997 0.4794
0.0000 0.8037 0.4915
0.0000 0.0046 0.5096
0.2887 0.0916 0.5456
0.7113 0.0916 0.5456
0.2791 0.7212 0.5485
0.7209 0.7212 0.5485
0.5000 0.9034 0.5879
0.2199 0.5157 0.5935
0.7801 0.5157 0.5935
0.2220 0.2949 0.5978
0.7780 0.2949 0.5978
0.5000 0.4061 0.6241
0.0000 0.6788 0.6538
0.0000 0.1355 0.6578
0.5000 0.6356 0.6705
0.5000 0.1762 0.6743
0.0000 0.9066 0.7050
0.2781 0.7948 0.7310
0.7219 0.7948 0.7310
0.2795 0.0152 0.7359
0.7205 0.0152 0.7359
0.0000 0.4021 0.7432
0.2219 0.2208 0.7797
0.7781 0.2208 0.7797
0.2103 0.5916 0.7828
0.7897 0.5916 0.7828
0.5000 0.5051 0.8183
0.5000 0.3042 0.8361
0.5000 0.8991 0.8492
0.0000 0.9099 0.8897
0.2316 0.4212 0.9064
0.7684 0.4212 0.9064
0.0000 0.2506 0.9136
0.2493 0.7497 0.9144
0.7507 0.7497 0.9144
0.2302 0.0797 0.9227
0.7698 0.0797 0.9227
0.0000 0.5902 0.9393
0.5000 0.6003 0.9794
0.5000 0.1963 0.9915
0.5000 0.7991 0.0049
0.0000 0.4127 0.0150
0.0000 0.7690 0.0166
0.2778 0.0937 0.0915
0.7222 0.0937 0.0915
0.2226 0.5934 0.2373
0.7774 0.5934 0.2373
0.5000 0.2688 0.3124
0.5000 0.9127 0.3134
0.0000 0.2993 0.3236
0.0000 0.8959 0.3310
0.0000 0.6042 0.4979
0.0000 0.2009 0.5049
0.5000 0.5873 0.5150
0.5000 0.2310 0.5166
0.2222 0.9063 0.5915
0.7778 0.9063 0.5915
0.2774 0.4066 0.7373
0.7226 0.4066 0.7373
0.0000 0.7312 0.8124
0.0000 0.0873 0.8134
0.5000 0.7007 0.8236
0.5000 0.1041 0.8310
0.5000 0.3958 0.9979

Quick one: least stable of them? entry w

Entry w
Al7Co5, relaxed, DFT PBE; total magnetic moment = 5.22 μB per formula unit; space group = P6_3/mmc (194); crystal system = hexagonal
1.0
-3.6977 1.9540 -2.4693
-0.7170 -3.9638 2.7135
-3.4291 9.0235 12.2755
Al Co
14 10
Direct
0.5000 0.0000 0.0000
0.0000 0.5000 0.0000
0.5000 0.5000 0.0000
0.0000 0.0000 0.1113
0.6667 0.3333 0.1660
0.6667 0.3333 0.3340
0.0000 0.0000 0.3887
0.5000 0.0000 0.5000
0.0000 0.5000 0.5000
0.5000 0.5000 0.5000
0.0000 0.0000 0.6113
0.3333 0.6667 0.6660
0.3333 0.6667 0.8340
0.0000 0.0000 0.8887
0.3333 0.6667 0.1206
0.1642 0.3284 0.2500
0.1642 0.8358 0.2500
0.6716 0.8358 0.2500
0.3333 0.6667 0.3794
0.6667 0.3333 0.6206
0.3284 0.1642 0.7500
0.8358 0.1642 0.7500
0.8358 0.6716 0.7500
0.6667 0.3333 0.8794

Entry x
Al7Co5, relaxed, DFT PBE; total magnetic moment = 4.15 μB per formula unit; space group = P6_3/mmc (194); crystal system = hexagonal
1.0
4.8018 0.0000 0.0000
-2.4009 4.1585 0.0000
0.0000 0.0000 16.1179
Al Co
14 10
Direct
0.0000 0.0000 0.0811
0.3333 0.6667 0.1170
0.1648 0.3297 0.2500
0.1648 0.8352 0.2500
0.6703 0.8352 0.2500
0.3333 0.6667 0.3830
0.0000 0.0000 0.4189
0.0000 0.0000 0.5811
0.6667 0.3333 0.6170
0.3297 0.1648 0.7500
0.8352 0.1648 0.7500
0.8352 0.6703 0.7500
0.6667 0.3333 0.8830
0.0000 0.0000 0.9189
0.5000 0.0000 0.0000
0.0000 0.5000 0.0000
0.5000 0.5000 0.0000
0.6667 0.3333 0.1648
0.6667 0.3333 0.3352
0.5000 0.0000 0.5000
0.0000 0.5000 0.5000
0.5000 0.5000 0.5000
0.3333 0.6667 0.6648
0.3333 0.6667 0.8352

Entry y
Al7Co5, relaxed, DFT PBE; total magnetic moment = 4.27 μB per formula unit; space group = P6_3/mmc (194); crystal system = hexagonal
1.0
4.8010 0.0000 0.0000
-2.4005 4.1578 0.0000
0.0000 0.0000 16.0038
Al Co
14 10
Direct
0.0000 0.0000 0.0821
0.6667 0.3333 0.1368
0.1672 0.3344 0.2500
0.1672 0.8328 0.2500
0.6656 0.8328 0.2500
0.6667 0.3333 0.3632
0.0000 0.0000 0.4179
0.0000 0.0000 0.5821
0.3333 0.6667 0.6368
0.3344 0.1672 0.7500
0.8328 0.1672 0.7500
0.8328 0.6656 0.7500
0.3333 0.6667 0.8632
0.0000 0.0000 0.9179
0.5000 0.0000 0.0000
0.0000 0.5000 0.0000
0.5000 0.5000 0.0000
0.3333 0.6667 0.1269
0.3333 0.6667 0.3731
0.5000 0.0000 0.5000
0.0000 0.5000 0.5000
0.5000 0.5000 0.5000
0.6667 0.3333 0.6269
0.6667 0.3333 0.8731

Entry z
Al7Co5, relaxed, DFT PBE; total magnetic moment = 4.74 μB per formula unit; space group = P6_3/mmc (194); crystal system = hexagonal
1.0
4.9175 0.0000 0.0000
-2.4587 4.2587 0.0000
0.0000 0.0000 15.9042
Al Co
14 10
Direct
0.3333 0.6667 0.1155
0.6667 0.3333 0.1329
0.1636 0.3271 0.2500
0.1636 0.8364 0.2500
0.6729 0.8364 0.2500
0.6667 0.3333 0.3671
0.3333 0.6667 0.3845
0.6667 0.3333 0.6155
0.3333 0.6667 0.6329
0.3271 0.1636 0.7500
0.8364 0.1636 0.7500
0.8364 0.6729 0.7500
0.3333 0.6667 0.8671
0.6667 0.3333 0.8845
0.5000 0.0000 0.0000
0.0000 0.5000 0.0000
0.5000 0.5000 0.0000
0.0000 0.0000 0.1176
0.0000 0.0000 0.3824
0.5000 0.0000 0.5000
0.0000 0.5000 0.5000
0.5000 0.5000 0.5000
0.0000 0.0000 0.6176
0.0000 0.0000 0.8824

Quick one: least stable of them? entry z

Entry w
CsAlCoSe3, relaxed, DFT PBE; total magnetic moment = 2.69 μB per formula unit; space group = Cmcm (63); crystal system = orthorhombic
1.0
2.8579 2.9638 -7.1410
-3.3830 -5.8437 4.7278
-9.5703 3.6761 -2.3043
Al Co Cs Se
2 2 2 6
Direct
0.0000 0.0000 0.0000
0.0000 0.0000 0.5000
0.5358 0.4642 0.2500
0.4642 0.5358 0.7500
0.2552 0.7448 0.2500
0.7448 0.2552 0.7500
0.6047 0.3953 0.0483
0.9477 0.0523 0.2500
0.6047 0.3953 0.4517
0.3953 0.6047 0.5483
0.0523 0.9477 0.7500
0.3953 0.6047 0.9517

Entry x
CsAlCoSe3, relaxed, DFT PBE; total magnetic moment = 2.15 μB per formula unit; space group = P2_1/m (11); crystal system = monoclinic
1.0
-9.1676 -1.0839 1.7967
0.6083 -3.5950 0.9349
5.3887 2.9779 7.9445
Al Co Cs Se
2 2 2 6
Direct
0.1574 0.2500 0.1213
0.8426 0.7500 0.8787
0.4354 0.7500 0.4094
0.5646 0.2500 0.5906
0.7164 0.2500 0.2498
0.2836 0.7500 0.7502
0.3539 0.7500 0.1476
0.9843 0.7500 0.1502
0.2993 0.2500 0.4428
0.7007 0.7500 0.5572
0.0157 0.2500 0.8498
0.6461 0.2500 0.8524

Quick one: least stable of them? entry w

Entry w
Al2FeCoCu4, relaxed, DFT PBE; total magnetic moment = 3.12 μB per formula unit; space group = P4/mmm (123); crystal system = tetragonal
1.0
-3.5781 1.2947 -1.5180
-1.8002 -0.7515 3.6024
1.2079 5.3560 1.7209
Al Co Cu Fe
2 1 4 1
Direct
0.0000 0.0000 0.0000
0.5000 0.5000 0.5000
0.5000 0.5000 0.0000
0.5000 0.0000 0.2506
0.0000 0.5000 0.2506
0.5000 0.0000 0.7494
0.0000 0.5000 0.7494
0.0000 0.0000 0.5000

Entry x
Al2FeCoCu4, relaxed, DFT PBE; total magnetic moment = 2.70 μB per formula unit; space group = I4_1/amd (141); crystal system = tetragonal
1.0
0.8169 4.6062 5.4267
3.9367 -2.7297 5.3277
0.9282 0.4904 -7.0874
Al Co Cu Fe
4 2 8 2
Direct
0.5006 0.5006 0.0000
0.9994 0.9994 0.0000
0.7506 0.2506 0.5000
0.2494 0.7494 0.5000
0.2500 0.2500 0.0000
0.5000 0.0000 0.5000
0.1254 0.6250 0.0004
0.3750 0.8754 0.0004
0.3750 0.3746 0.4996
0.6246 0.6250 0.4996
0.1254 0.1250 0.5004
0.8750 0.8754 0.5004
0.6246 0.1250 0.9996
0.8750 0.3746 0.9996
0.7500 0.7500 0.0000
0.0000 0.5000 0.5000

Quick one: least stable of them? entry x

Entry w
AlCoCuRe, relaxed, DFT PBE; total magnetic moment = 1.92 μB per formula unit; space group = F-43m (216); crystal system = cubic
1.0
2.7517 -2.7746 -1.4582
-0.3717 -4.0312 1.0039
-1.1650 -2.7705 -2.8920
Al Co Cu Re
1 1 1 1
Direct
0.0000 0.0000 0.0000
0.7500 0.7500 0.7500
0.5000 0.5000 0.5000
0.2500 0.2500 0.2500

Entry x
AlCoCuRe, relaxed, DFT PBE; total magnetic moment = 1.88 μB per formula unit; space group = F-43m (216); crystal system = cubic
1.0
0.0000 2.9443 2.9443
2.9443 0.0000 2.9443
2.9443 2.9443 0.0000
Al Co Cu Re
1 1 1 1
Direct
0.0000 0.0000 0.0000
0.7500 0.7500 0.7500
0.2500 0.2500 0.2500
0.5000 0.5000 0.5000

Quick one: least stable of them? entry w

Entry w
ScAlCoCu, relaxed, DFT PBE; total magnetic moment = 0.24 μB per formula unit; space group = F-43m (216); crystal system = cubic
1.0
0.0000 3.0417 3.0417
3.0417 0.0000 3.0417
3.0417 3.0417 0.0000
Al Co Cu Sc
1 1 1 1
Direct
0.0000 0.0000 0.0000
0.2500 0.2500 0.2500
0.7500 0.7500 0.7500
0.5000 0.5000 0.5000

Entry x
ScAlCoCu, relaxed, DFT PBE; total magnetic moment = 0.67 μB per formula unit; space group = F-43m (216); crystal system = cubic
1.0
0.0000 3.0622 3.0622
3.0622 0.0000 3.0622
3.0622 3.0622 0.0000
Al Co Cu Sc
1 1 1 1
Direct
0.0000 0.0000 0.0000
0.5000 0.5000 0.5000
0.2500 0.2500 0.2500
0.7500 0.7500 0.7500

Entry y
ScAlCoCu, relaxed, DFT PBE; total magnetic moment = 0.59 μB per formula unit; space group = F-43m (216); crystal system = cubic
1.0
0.0000 3.0571 3.0571
3.0571 0.0000 3.0571
3.0571 3.0571 0.0000
Al Co Cu Sc
1 1 1 1
Direct
0.0000 0.0000 0.0000
0.2500 0.2500 0.2500
0.5000 0.5000 0.5000
0.7500 0.7500 0.7500

Quick one: least stable of them? entry x

Entry w
AlZnCoCu, relaxed, DFT PBE; total magnetic moment = 0.01 μB per formula unit; space group = F-43m (216); crystal system = cubic
1.0
0.0000 2.9007 2.9007
2.9007 0.0000 2.9007
2.9007 2.9007 0.0000
Al Co Cu Zn
1 1 1 1
Direct
0.0000 0.0000 0.0000
0.2500 0.2500 0.2500
0.7500 0.7500 0.7500
0.5000 0.5000 0.5000

Entry x
AlZnCoCu, relaxed, DFT PBE; total magnetic moment = 0.00 μB per formula unit; space group = F-43m (216); crystal system = cubic
1.0
-0.6585 0.0169 4.0619
-3.7856 -0.6570 1.4734
-0.8642 -3.5141 1.9588
Al Co Cu Zn
1 1 1 1
Direct
0.2500 0.2500 0.2500
0.0000 0.0000 0.0000
0.7500 0.7500 0.7500
0.5000 0.5000 0.5000

Quick one: least stable of them? entry x